An optimized crystal structure of Li2HgSe. Source: the Alexandria database, functional PBE.

It has space group Pm (No. 6), with a = 4.415 Å, b = 4.372 Å, c = 4.522 Å, α = 90.00°, β = 94.53° and γ = 90.00°. The inequivalent atoms are Li at (0.000, 0.000, 0.000), Li at (0.484, 0.500, 0.994), Hg at (0.524, 0.000, 0.396) and Se at (0.961, 0.500, 0.727).

The density of states at the Fermi level comes out at 0.00 states/eV/atom. For the energy, the calculation gives -2.611 eV/atom. For the magnetic moment, the calculation gives 0.00 μB/cell. Its uncorrected formation energy is -0.707 eV per atom.